Record 1
Li2AcNdAu2 | the Alexandria database | PBE | relaxed; size of the total moment = 0.00 μB per cell; VASP energy = -3.75 eV per atom
1.0
4.704 0.000 0.000
-2.352 4.074 0.000
0.000 0.000 7.548
Au Ac Li Nd
2 1 2 1
direct
0.667 0.333 0.729
0.333 0.667 0.271
0.000 0.000 0.000
0.667 0.333 0.284
0.333 0.667 0.716
0.000 0.000 0.500

---

Record 2
Li2Ac2AuO6 | the Alexandria database | PBE | relaxed; size of the total moment = 0.42 μB per cell; raw formation energy = -1.877 eV per atom
1.0
-5.792 2.564 -2.459
0.428 -5.833 3.458
0.939 2.967 3.223
Ac Au O Li
2 1 6 2
direct
0.337 0.663 0.500
0.663 0.337 0.500
0.000 0.000 0.500
0.773 0.773 0.708
0.047 0.363 0.787
0.227 0.227 0.292
0.953 0.637 0.213
0.637 0.953 0.213
0.363 0.047 0.787
0.107 0.893 0.000
0.893 0.107 0.000

---

Record 3
Li2AcAuO4 | the Alexandria database | PBE | relaxed; size of the total moment = 0.00 μB per cell; raw formation energy = -1.545 eV per atom
1.0
-3.173 1.109 -3.947
-1.849 -3.545 3.300
0.809 3.943 3.267
O Au Ac Li
4 1 1 2
direct
0.000 0.525 0.076
0.000 0.076 0.525
0.552 0.475 0.475
0.448 0.924 0.924
0.000 0.500 0.500
0.000 0.000 0.000
0.500 0.750 0.250
0.500 0.250 0.750

---

Record 4
LiAc2AuO5 | the Alexandria database | PBE | relaxed; size of the total moment = 0.00 μB per cell; raw formation energy = -2.069 eV per atom
1.0
3.720 0.000 0.000
-1.860 7.021 0.000
0.000 0.000 10.735
Ac O Li Au
4 10 2 2
direct
0.098 0.196 0.679
0.156 0.312 0.289
0.844 0.688 0.789
0.902 0.804 0.179
0.931 0.861 0.582
0.267 0.535 0.689
0.483 0.966 0.768
0.333 0.666 0.377
0.389 0.777 0.007
0.733 0.465 0.189
0.069 0.139 0.082
0.667 0.334 0.877
0.611 0.223 0.507
0.517 0.034 0.268
0.816 0.632 0.483
0.184 0.368 0.983
0.531 0.063 0.951
0.469 0.937 0.451